Record 1
The following is a GGA-PBE calculation of crystalline Ca4Si2Ni at its relaxed geometry, from Alexandria via LeMat-Bulk.

Calculated values
Its energy relative to the elements, uncorrected is -6.4 kJ per mole of atoms. The calculation puts the total magnetization at 0.0 μB/f.u. For the density, the calculation gives 2.3 g/cm3. The space-group type is I4/mmm, No. 139.

abc: 5.458 5.458 7.805
angles: 69.53 69.53 90.00
Atoms (fractional coordinates):
Ni1 0.000 0.000 0.000
Ca1 0.803 0.803 0.394
Ca2 0.197 0.197 0.606
Ca3 0.000 0.500 0.000
Ca4 0.500 0.000 0.000
Si1 0.593 0.593 0.813
Si2 0.407 0.407 0.187

=====

Record 2
The following is a GGA-PBE calculation of crystalline CaSiNi at its relaxed geometry, from Alexandria via LeMat-Bulk.

Calculated values
Its energy relative to the elements, uncorrected is -47.2 kJ per mole of atoms. The calculation puts the total magnetization at 0.0 μB/f.u. For the density, the calculation gives 3.6 g/cm3. The space-group type is P-6m2, No. 187.

abc: 3.932 3.932 4.376
angles: 90.00 90.00 120.00
Atoms (fractional coordinates):
Ca1 0.333 0.667 0.500
Si1 0.667 0.333 0.000
Ni1 0.000 0.000 0.000

=====

> Which value of total magnetization does entry 2 give?

0.0 μB/f.u.

=====

Copy entry 2 word for word.
The following is a GGA-PBE calculation of crystalline CaSiNi at its relaxed geometry, from Alexandria via LeMat-Bulk.

Calculated values
Its energy relative to the elements, uncorrected is -47.2 kJ per mole of atoms. The calculation puts the total magnetization at 0.0 μB/f.u. For the density, the calculation gives 3.6 g/cm3. The space-group type is P-6m2, No. 187.

abc: 3.932 3.932 4.376
angles: 90.00 90.00 120.00
Atoms (fractional coordinates):
Ca1 0.333 0.667 0.500
Si1 0.667 0.333 0.000
Ni1 0.000 0.000 0.000

=====

> What is the total magnetization in the first record?

0.0 μB/f.u.